No. 1
The following is a DFT calculation (PBE) of an optimized crystal structure of Nd7SmTl4.

Lattice parameters (Å, degrees): 5.9107 9.5374 8.0404 73.87 68.43 71.95
With the nearest neighbours (Å) after each atom.
Element x y z (fractional)
1 Tl 0.5572 0.2537 0.6319  4 Nd 3.08-3.35, 1 Tl 3.26
2 Nd 0.9386 0.3935 0.7293  3 Tl 3.27-3.35, 3 Nd 3.41-3.61
3 Tl 0.3135 0.3334 0.0395  5 Nd 3.09-3.27, 1 Tl 3.26
4 Nd 0.2040 0.1183 0.4737  3 Nd 3.41-3.63, 4 Tl 3.46-3.60
5 Nd 0.7960 0.8817 0.5263  3 Nd 3.41-3.63, 4 Tl 3.46-3.60
6 Tl 0.4428 0.7463 0.3681  4 Nd 3.08-3.35, 1 Tl 3.26
7 Nd 0.5000 0.0000 0.0000  2 Sm 2.96, 4 Tl 3.09-3.24
8 Nd 0.7253 0.3367 0.2128  4 Tl 3.08-3.23
9 Sm 0.0000 0.0000 0.0000  2 Nd 2.96
10 Nd 0.2747 0.6633 0.7872  4 Tl 3.08-3.23
11 Tl 0.6865 0.6666 0.9605  5 Nd 3.09-3.27, 1 Tl 3.26
12 Nd 0.0614 0.6065 0.2707  3 Tl 3.27-3.35, 3 Nd 3.41-3.61

Summary:
Magnetic moment: 0.00 μB/f.u.
Formation energy from the elements: -75.1 meV per atom

=====

No. 2
The following is a DFT calculation (PBE) of an optimized crystal structure of OsRu2Au.

Lattice parameters (Å, degrees): 4.7838 4.7838 4.7963 80.51 80.51 33.57
With the nearest neighbours (Å) after each atom.
Element x y z (fractional)
1 Os 0.2567 0.2567 0.2255  7 Ru 2.63-2.92, 2 Os 2.76, 3 Au 2.79-2.85
2 Au 0.5000 0.5000 0.5034  7 Ru 2.74-2.83, 2 Au 2.76, 3 Os 2.79-2.85
3 Ru 0.9999 0.9999 0.0061  3 Os 2.68-2.74, 5 Ru 2.71-2.79, 4 Au 2.76-2.78
4 Ru 0.7434 0.7434 0.7650  4 Os 2.63-2.92, 5 Ru 2.71-2.79, 3 Au 2.74-2.83

Summary:
Magnetic moment: 0.00 μB/f.u.
Formation energy from the elements: 378.1 meV per atom

=====

No. 3
The following is a DFT calculation (PBE) of an optimized crystal structure of Ni2H6Pd5.

Lattice parameters (Å, degrees): 4.5078 4.5078 12.8442 89.64 89.64 65.82
With the nearest neighbours (Å) after each atom.
Element x y z (fractional)
1 Pd 0.6197 0.0881 0.1815  3 H 1.83-1.86
2 Ni 0.5368 0.0307 0.3973  4 H 1.68-1.74
3 H 0.1976 0.3758 0.2149  1 Ni 1.72, 3 Pd 1.84-1.86
4 H 0.0707 0.8900 0.9068  1 Ni 1.68, 2 Pd 1.83-1.86
5 Pd 0.3803 0.9119 0.8185  3 H 1.83-1.86
6 H 0.8900 0.0707 0.4068  1 Ni 1.68, 2 Pd 1.83-1.86
7 H 0.1100 0.9293 0.5932  1 Ni 1.68, 2 Pd 1.83-1.86
8 Pd 0.1828 0.6785 0.4632  4 H 1.86-1.97
9 Ni 0.0307 0.5368 0.8973  4 H 1.68-1.74
10 H 0.2564 0.4223 0.0109  2 Ni 1.70-1.74, 1 Pd 1.86
11 Pd 0.7412 0.2588 0.7500  2 H 1.84
12 H 0.9293 0.1100 0.0932  1 Ni 1.68, 2 Pd 1.83-1.86
13 Pd 0.8172 0.3215 0.5368  4 H 1.86-1.97
14 H 0.5777 0.7436 0.4891  2 Ni 1.70-1.74, 1 Pd 1.86
15 Pd 0.6785 0.1828 0.9632  4 H 1.86-1.97
16 Ni 0.9693 0.4632 0.1027  4 H 1.68-1.74
17 H 0.3758 0.1976 0.7149  1 Ni 1.72, 3 Pd 1.84-1.86
18 H 0.6242 0.8024 0.2851  1 Ni 1.72, 3 Pd 1.84-1.86
19 Pd 0.9119 0.3803 0.3185  3 H 1.83-1.86
20 Pd 0.3215 0.8172 0.0368  4 H 1.86-1.97
21 Ni 0.4632 0.9693 0.6027  4 H 1.68-1.74
22 H 0.7436 0.5777 0.9891  2 Ni 1.70-1.74, 1 Pd 1.86
23 Pd 0.2588 0.7412 0.2500  2 H 1.84
24 H 0.8024 0.6242 0.7851  1 Ni 1.72, 3 Pd 1.84-1.86
25 Pd 0.0881 0.6197 0.6815  3 H 1.83-1.86
26 H 0.4223 0.2564 0.5109  2 Ni 1.70-1.74, 1 Pd 1.86

Summary:
Magnetic moment: 0.00 μB/f.u.
DFT total energy: -4.460 eV per atom

=====

In order of appearance, density of states at the Fermi level = 13.0; 4.2; 8.0 states/eV/cell.